No. 1
## TaBAs (PBE)

Data for TaBAs after structural relaxation.

It has space group F-43m (No. 216), with a = 5.8745 Å, b = 5.8745 Å, c = 5.8745 Å, α = 90.00°, β = 90.00° and γ = 90.00°. Symmetry generates all atoms from Ta at (0.0000, 0.0000, 0.0000), B at (0.2500, 0.2500, 0.2500) and As at (0.2500, 0.2500, 0.7500).

The energy above the most stable polymorph in this dataset is 0.156 eV per atom. The value obtained for the total energy is -82.2 eV per cell.



No. 2
## TaBAs (PBE)

Data for TaBAs after structural relaxation.

It has space group F-43m (No. 216), with a = 5.6146 Å, b = 5.6146 Å, c = 5.6146 Å, α = 90.00°, β = 90.00° and γ = 90.00°. Symmetry generates all atoms from Ta at (0.0000, 0.0000, 0.0000), B at (0.2500, 0.2500, 0.7500) and As at (0.0000, 0.0000, 0.5000).

The energy above the most stable polymorph in this dataset is 0.000 eV per atom. The value obtained for the total energy is -84.1 eV per cell.



No. 3
## Ta3B2As (PBE)

Data for Ta3B2As after structural relaxation.

It has space group P6_3/mmc (No. 194), with a = 3.3511 Å, b = 3.3511 Å, c = 17.2424 Å, α = 90.00°, β = 90.00° and γ = 120.00°. Symmetry generates all atoms from Ta at (0.0000, 0.0000, 0.0000), Ta at (0.3333, 0.6667, 0.1436), B at (0.3333, 0.6667, 0.5759) and As at (0.0000, 0.0000, 0.2500).

The value obtained for the total energy is -115.1 eV per cell.



No. 4
## TbB4As (PBE)

Data for TbB4As after structural relaxation.

It has space group P6/mmm (No. 191), with a = 3.1781 Å, b = 3.1781 Å, c = 7.6618 Å, α = 90.00°, β = 90.00° and γ = 120.00°. Symmetry generates all atoms from Tb at (0.0000, 0.0000, 0.0000), B at (0.3333, 0.6667, 0.2569) and As at (0.0000, 0.0000, 0.5000).

The energy above the most stable polymorph in this dataset is 0.143 eV per atom. The value obtained for the total energy is -35.4 eV per cell.



No. 5
## TbBAs (PBE)

Data for TbBAs after structural relaxation.

It has space group F-43m (No. 216), with a = 6.0794 Å, b = 6.0794 Å, c = 6.0794 Å, α = 90.00°, β = 90.00° and γ = 90.00°. Symmetry generates all atoms from Tb at (0.0000, 0.0000, 0.0000), B at (0.2500, 0.2500, 0.7500) and As at (0.0000, 0.0000, 0.5000).

The value obtained for the total energy is -62.6 eV per cell.



No. 6
## TbB4As (PBE)

Data for TbB4As after structural relaxation.

It has space group Immm (No. 71), with a = 3.1761 Å, b = 4.9946 Å, c = 8.6076 Å, α = 90.00°, β = 90.00° and γ = 90.00°. Symmetry generates all atoms from Tb at (0.0000, 0.0000, 0.0000), B at (0.0000, 0.3152, 0.2702) and As at (0.0000, 0.0000, 0.5000).

The energy above the most stable polymorph in this dataset is 0.000 eV per atom. The value obtained for the total energy is -72.5 eV per cell.



No. 7
## TcB2As (PBE)

Data for TcB2As after structural relaxation.

It has space group F-43m (No. 216), with a = 5.7101 Å, b = 5.7101 Å, c = 5.7101 Å, α = 90.00°, β = 90.00° and γ = 90.00°. Symmetry generates all atoms from Tc at (0.0000, 0.0000, 0.0000), B at (0.0000, 0.0000, 0.5000), B at (0.2500, 0.2500, 0.7500) and As at (0.2500, 0.2500, 0.2500).

The value obtained for the total energy is -91.1 eV per cell.



No. 8
## ThB4As (PBE)

Data for ThB4As after structural relaxation.

It has space group P6/mmm (No. 191), with a = 3.2033 Å, b = 3.2033 Å, c = 7.9601 Å, α = 90.00°, β = 90.00° and γ = 120.00°. Symmetry generates all atoms from Th at (0.0000, 0.0000, 0.0000), B at (0.3333, 0.6667, 0.2677) and As at (0.0000, 0.0000, 0.5000).

The energy above the most stable polymorph in this dataset is 0.230 eV per atom. The value obtained for the total energy is -37.8 eV per cell.